Entry 1:
Below is a geometry-optimized Mn2CdF6 structure, with properties calculated at the PBE with a Hubbard U level.

Geometry as extended XYZ:
```
18
Lattice="4.8555 0.0000 0.0000 0.0000 5.8123 0.0000 0.0000 0.0000 9.5340" Properties=species:S:1:pos:R:3 pbc="T T T"
Mn 0.0000 0.0000 1.7386
Mn 0.0000 0.0000 7.7954
Mn 2.4277 2.9061 3.0284
Mn 2.4277 2.9061 6.5056
Cd 0.0000 2.9061 0.0000
Cd 2.4277 0.0000 4.7670
F 0.9694 0.9025 0.0000
F 1.1477 3.9394 1.6820
F 1.1477 3.9394 7.8520
F 1.2801 1.0333 3.0850
F 1.2801 1.0333 6.4490
F 1.4583 3.8087 4.7670
F 3.3971 2.0036 4.7670
F 3.5754 4.7790 3.0850
F 3.5754 4.7790 6.4490
F 3.7078 1.8729 1.6820
F 3.7078 1.8729 7.8520
F 3.8861 4.9098 0.0000
```

Summary:
SG	Pnnm, No. 58
offset from the most stable computed form	41	meV per atom

=====

Entry 2:
Below is a geometry-optimized MnCd3F8 structure, with properties calculated at the PBE with a Hubbard U level.

Geometry as extended XYZ:
```
12
Lattice="5.4294 0.0000 0.0000 0.0000 5.4294 0.0000 0.0000 0.0000 5.4294" Properties=species:S:1:pos:R:3 pbc="T T T"
Mn 0.0000 0.0000 0.0000
Cd 0.0000 2.7147 2.7147
Cd 2.7147 0.0000 2.7147
Cd 2.7147 2.7147 0.0000
F 1.3291 1.3291 1.3291
F 1.3291 1.3291 4.1003
F 1.3291 4.1003 1.3291
F 1.3291 4.1003 4.1003
F 4.1003 1.3291 1.3291
F 4.1003 1.3291 4.1003
F 4.1003 4.1003 1.3291
F 4.1003 4.1003 4.1003
```

Summary:
SG	Pm-3m, No. 221

=====

Values for final energy, eV/atom, ordered as above
-5.492, -4.405
Values for density, Mg/m³, ordered as above
4.2, 5.6